(1)
## SrB2HBr (PBE)

Data for a geometry-optimized SrB2HBr structure.

The structure in POSCAR format:
```
SrB2HBr
1.0
-4.809 3.050 1.209
-0.893 -3.322 4.831
3.161 3.735 3.153
Sr B Br H
1 2 1 1
Cartesian
0.000 0.000 0.000
1.581 1.868 1.576
-2.404 1.525 0.604
-0.446 -1.661 2.416
-1.270 1.731 4.596
```

Calculated total energy   -2.14 eV/atom
Energy above the most stable polymorph in this dataset   781 meV per atom



(2)
## Tc2BHBr (PBE)

Data for a geometry-optimized Tc2BHBr structure.

The structure in POSCAR format:
```
Tc2BHBr
1.0
4.623 0.000 0.000
0.000 3.076 0.000
0.000 0.000 4.623
H B Tc Br
1 1 2 1
Cartesian
0.000 1.538 0.000
2.311 1.538 2.311
0.000 0.000 2.311
2.311 0.000 0.000
0.000 0.000 0.000
```

Calculated total energy   -4.74 eV/atom



(3)
## V2BHBr (PBE)

Data for a geometry-optimized V2BHBr structure.

The structure in POSCAR format:
```
V2BHBr
1.0
-1.788 -4.202 -0.671
1.679 -0.283 -2.699
3.495 -1.866 2.369
H B Br V
1 1 1 2
Cartesian
0.839 -0.142 -1.349
1.693 -3.176 -0.500
0.000 0.000 0.000
1.747 -0.933 1.185
-0.894 -2.101 -0.336
```

Calculated total energy   -4.56 eV/atom



(4)
## HfB2Br (PBE)

Data for a geometry-optimized HfB2Br structure.

The structure in POSCAR format:
```
HfB2Br
1.0
0.937 -4.110 1.129
-1.104 -1.482 3.953
-3.204 -2.934 0.414
B Hf Br
2 1 1
Cartesian
-0.843 -2.132 1.374
-2.529 -6.395 4.122
-1.686 -4.263 2.748
0.000 0.000 0.000
```

Calculated total energy   -4.74 eV/atom
E_form (uncorrected)   1503 meV/atom
Energy above the most stable polymorph in this dataset   302 meV per atom